Record 1
Pr3SbSe PBE relaxed; total magnetization = 0.0 μB per formula unit; ΔE_f (raw) = -1214 meV per atom; energy above the lowest structure with this stoichiometry = 0.000 eV per formula unit
1.0
8.8143 0.0000 0.0000
0.0000 4.3220 0.0000
0.0000 0.0000 16.1951
Pr Sb Se
12 4 4
Cartesian
0.1157 1.0805 1.7630
1.3566 1.0805 8.8421
1.4280 3.2415 4.6512
2.9791 1.0805 12.7488
3.0505 3.2415 0.7445
4.2914 3.2415 9.8606
4.5229 1.0805 6.3345
5.7638 1.0805 15.4506
5.8352 3.2415 3.4464
7.3862 1.0805 11.5439
7.4576 3.2415 7.3530
8.6985 3.2415 14.4321
1.0739 3.2415 11.2974
3.3333 1.0805 3.1999
5.4810 3.2415 12.9953
7.7404 1.0805 4.8977
1.7135 1.0805 15.4053
2.6936 3.2415 7.3077
6.1206 1.0805 8.8874
7.1008 3.2415 0.7898



Record 2
SrSmBiAu PBE relaxed; total magnetization = 0.0 μB per formula unit; E_form = -0.683 eV/atom
1.0
0.0000 3.9021 3.9021
3.9021 0.0000 3.9021
3.9021 3.9021 0.0000
Sr Sm Bi Au
1 1 1 1
Cartesian
0.0000 0.0000 0.0000
3.9021 3.9021 3.9021
5.8531 5.8531 5.8531
1.9510 1.9510 1.9510



Record 3
TaFe2Se PBE relaxed; total magnetization = 2.7 μB per formula unit; ΔE_f (raw) = 246 meV per atom
1.0
1.5135 0.8738 7.5423
-1.5135 0.8738 7.5423
0.0000 -1.7477 7.5423
Ta Fe Se
1 2 1
Cartesian
0.0000 0.0000 0.0000
0.0000 0.0000 5.6252
0.0000 0.0000 17.0017
0.0000 0.0000 11.3134



Record 4
AlOsRu2 PBE relaxed; total magnetization = 0.0 μB per formula unit; E_form = 0.019 eV/atom
1.0
2.9038 0.0000 0.0000
0.0000 4.3919 0.0000
0.0000 0.0000 4.4215
Al Os Ru
1 1 2
Cartesian
0.0000 0.0000 0.0000
1.4519 0.0000 2.2108
0.0000 2.1959 2.2108
1.4519 2.1959 0.0000



Record 5
Tb3TiIn3Se8 PBE relaxed; total magnetization = 0.0 μB per formula unit; ΔE_f (raw) = -1244 meV per atom
1.0
4.0465 2.3363 7.6851
-4.0465 2.3363 7.6851
0.0000 -4.6725 7.6851
Tb Ti In Se
3 1 3 8
Cartesian
-2.0233 -1.1681 7.6851
-2.0232 1.1681 15.3703
0.0000 2.3362 7.6851
0.0000 0.0000 0.0000
-4.0465 0.0000 11.5277
-2.0232 1.1681 3.8426
2.0233 1.1681 3.8426
0.0000 -2.5307 9.2321
-2.1916 1.2653 9.2321
-2.1917 -1.2653 13.8233
0.0000 0.0000 6.0375
0.0000 0.0000 17.0179
2.1917 1.2654 9.2321
2.1917 -1.2654 13.8233
0.0000 2.5307 13.8233



Record 6
BaMn3Se PBE relaxed; total magnetization = 11.9 μB per formula unit; ΔE_f (raw) = 1964 meV per atom; energy above the lowest structure with this stoichiometry = 7.627 eV per formula unit
1.0
5.2864 0.0000 0.0000
0.0000 5.2864 0.0000
0.0000 0.0000 5.2864
Ba Mn Se
1 3 1
Cartesian
0.0000 0.0000 0.0000
0.0000 0.0000 2.6432
0.0000 2.6432 0.0000
2.6432 0.0000 0.0000
2.6432 2.6432 2.6432



Record 7
Pu3Zr2UAs6 PBE relaxed; total magnetization = 7.1 μB per formula unit; E_form = -1.042 eV/atom
1.0
8.7688 -2.0062 0.0000
8.7688 2.0062 0.0000
-1.8665 0.0000 7.8963
Pu Zr U As
3 2 1 6
Cartesian
0.0000 0.0000 0.0000
4.6278 0.0000 5.2588
11.0434 0.0000 2.6375
5.4967 0.0000 1.2615
10.1745 0.0000 6.6347
-0.9332 0.0000 3.9481
1.8145 0.0000 4.7075
2.8249 0.0000 0.6162
8.1931 0.0000 1.9792
7.4781 0.0000 5.9171
12.8464 0.0000 7.2800
13.8567 0.0000 3.1887



Record 8
Dy6HgAs3S2 PBE relaxed; total magnetization = 0.0 μB per formula unit; ΔE_f (raw) = -1489 meV per atom
1.0
8.8400 -2.0266 0.0000
8.8400 2.0266 0.0000
-1.6847 0.0000 8.0598
Dy Hg As S
6 1 3 2
Cartesian
-0.3580 0.0000 2.1598
4.2497 0.0000 7.2990
5.1877 0.0000 3.3252
10.8076 0.0000 4.7345
11.7456 0.0000 0.7608
16.3533 0.0000 5.9000
8.8400 0.0000 0.0000
1.4945 0.0000 6.7340
7.9977 0.0000 4.0299
14.5008 0.0000 1.3258
2.4373 0.0000 2.7602
13.5580 0.0000 5.2996